[1]
Entry from Alexandria: crystalline HfCd5Ag6 at its relaxed geometry (PBE).

Calculated values
Its space-group type is P2/m (10). The calculation puts the density of states at the Fermi level at 5.15 states/eV/f.u. For the total energy, the calculation gives -2.638 eV/atom.

Cell: 4.610 7.348 7.283 Å, 90.00 70.93 90.00°
Fractional coordinates of all 12 atoms:
Cd 0.000 0.500 0.000
Cd 0.666 0.500 0.666
Cd 0.333 0.000 0.333
Cd 0.334 0.500 0.334
Cd 0.667 0.000 0.667
Ag 0.837 0.249 0.328
Ag 0.837 0.751 0.328
Ag 0.163 0.249 0.672
Ag 0.500 0.750 0.000
Ag 0.500 0.250 0.000
Ag 0.163 0.751 0.672
Hf 0.000 0.000 0.000

=====

[2]
Entry from Alexandria: crystalline Ag3Mo at its relaxed geometry (PBE).

Calculated values
Its space-group type is P4/mmm (123). The calculation puts the density of states at the Fermi level at 2.82 states/eV/f.u. For the total energy, the calculation gives -4.301 eV/atom. The calculation puts the excess energy over the best structure of this formula in the dataset at 246.7 meV per atom.

Cell: 5.053 5.053 2.752 Å, 90.00 90.00 90.00°
Last column: magnetic moment on the atom in μB.
Fractional coordinates of all 4 atoms:
Ag 0.500 0.000 0.500  -0.01
Ag 0.000 0.000 0.000  0.01
Ag 0.500 0.500 0.000  0.01
Mo 0.000 0.500 0.500  0.32